First-principles (GGA-PBE) data for an optimized crystal structure of LaHo6Er12, as listed in Alexandria.

Cell lengths 9.238, 9.238, 9.238 Å; angles 107.75, 107.75, 107.75 degrees
Element x y z (fractional)
1 Er 0.153 0.371 0.371
2 Er 0.500 0.111 0.889
3 Er 0.889 0.111 0.500
4 Er 0.500 0.889 0.111
5 Er 0.111 0.500 0.889
6 Er 0.629 0.629 0.847
7 Er 0.847 0.629 0.629
8 Er 0.629 0.847 0.629
9 Er 0.889 0.500 0.111
10 Er 0.371 0.371 0.153
11 Er 0.371 0.153 0.371
12 Er 0.111 0.889 0.500
13 Ho 0.688 0.263 0.688
14 Ho 0.737 0.312 0.312
15 Ho 0.312 0.312 0.737
16 Ho 0.312 0.737 0.312
17 Ho 0.688 0.688 0.263
18 Ho 0.263 0.688 0.688
19 La 0.000 0.000 0.000

Results
Final energy: -4.157 eV/atom
E above lowest polymorph: 0.270 eV/atom
Formation energy: 9.92 kcal/mol of atoms



First-principles (GGA-PBE) data for an optimized crystal structure of YHgSe2, as listed in Alexandria.

Cell lengths 4.199, 3.931, 6.333 Å; angles 71.91, 90.00, 90.00 degrees
Element x y z (fractional)
1 Y 0.000 0.704 0.467
2 Se 0.000 0.019 0.836
3 Se 0.500 0.272 0.330
4 Hg 0.500 0.504 0.867

Results
Final energy: -4.527 eV/atom
Formation energy from raw total energies: -1092.8 meV/atom



First-principles (GGA-PBE) data for an optimized crystal structure of IrPdNO2, as listed in Alexandria.

Cell lengths 3.934, 3.934, 3.817 Å; angles 90.00, 90.00, 90.00 degrees
Element x y z (fractional)
1 N 0.000 0.000 0.500
2 O 0.000 0.500 0.000
3 O 0.500 0.000 0.000
4 Pd 0.500 0.500 0.500
5 Ir 0.000 0.000 0.000

Results
Final energy: -5.936 eV/atom
Formation energy from raw total energies: 523.6 meV/atom



First-principles (GGA-PBE) data for an optimized crystal structure of Pr2YBi, as listed in Alexandria.

Cell lengths 4.367, 4.367, 6.891 Å; angles 90.00, 90.00, 90.00 degrees
Element x y z (fractional)
1 Pr 0.000 0.000 0.237
2 Pr 0.000 0.000 0.763
3 Y 0.500 0.500 0.500
4 Bi 0.500 0.500 0.000

Results
Final energy: -5.377 eV/atom
E above lowest polymorph: 0.016 eV/atom
Formation energy: -9.24 kcal/mol of atoms



First-principles (GGA-PBE) data for an optimized crystal structure of Nb3Fe8Ru, as listed in Alexandria.

Cell lengths 4.795, 4.795, 8.281 Å; angles 73.17, 73.17, 60.00 degrees
Site moments in Bohr magnetons follow the coordinates.
Element x y z (fractional)
1 Nb 0.377 0.377 0.870  -0.47
2 Nb 0.505 0.505 0.485  -0.40
3 Nb 0.994 0.994 0.018  -0.39
4 Fe 0.941 0.437 0.185  1.50
5 Fe 0.688 0.688 0.937  1.66
6 Fe 0.437 0.437 0.185  1.50
7 Fe 0.188 0.188 0.436  1.95
8 Fe 0.436 0.938 0.688  1.70
9 Fe 0.938 0.436 0.688  1.70
10 Fe 0.437 0.941 0.185  1.50
11 Fe 0.938 0.938 0.688  1.70
12 Ru 0.872 0.872 0.383  0.53

Results
Final energy: -9.049 eV/atom
Formation energy: -2.70 kcal/mol of atoms



First-principles (GGA-PBE) data for an optimized crystal structure of GePbS2I, as listed in Alexandria.

Cell lengths 4.723, 6.277, 4.723 Å; angles 90.00, 90.00, 90.00 degrees
Element x y z (fractional)
1 S 0.500 0.000 0.000
2 S 0.000 0.000 0.500
3 Pb 0.000 0.500 0.000
4 Ge 0.000 0.000 0.000
5 I 0.500 0.500 0.500

Results
Final energy: -3.495 eV/atom
Formation energy from raw total energies: 131.4 meV/atom



First-principles (GGA-PBE) data for an optimized crystal structure of Ho2Si3Ni, as listed in Alexandria.

Cell lengths 3.992, 4.015, 6.844 Å; angles 90.00, 90.00, 90.00 degrees
Element x y z (fractional)
1 Si 0.500 0.500 0.652
2 Si 0.500 0.000 0.838
3 Si 0.500 0.000 0.182
4 Ho 0.000 0.500 0.001
5 Ho 0.000 0.000 0.501
6 Ni 0.500 0.500 0.327

Results
Final energy: -5.994 eV/atom
Formation energy from raw total energies: -793.1 meV/atom



First-principles (GGA-PBE) data for an optimized crystal structure of MgSbOs2, as listed in Alexandria.

Cell lengths 5.314, 5.314, 5.314 Å; angles 145.71, 125.57, 65.92 degrees
Element x y z (fractional)
1 Mg 0.250 0.750 0.500
2 Os 0.517 0.517 0.000
3 Os 0.983 0.983 0.000
4 Sb 0.750 0.250 0.500

Results
Final energy: -6.482 eV/atom
Formation energy from raw total energies: 562.3 meV/atom



First-principles (GGA-PBE) data for an optimized crystal structure of La4Cl5, as listed in Alexandria.

Cell lengths 7.380, 7.380, 7.380 Å; angles 97.05, 97.05, 138.97 degrees
Element x y z (fractional)
1 La 0.292 0.000 0.292
2 La 0.000 0.708 0.708
3 La 0.000 0.292 0.292
4 La 0.708 0.000 0.708
5 Cl 0.315 0.685 0.000
6 Cl 0.685 0.315 0.000
7 Cl 0.315 0.315 0.629
8 Cl 0.685 0.685 0.371
9 Cl 0.000 0.000 0.000

Results
Final energy: -4.780 eV/atom
Formation energy from raw total energies: -1564.2 meV/atom



First-principles (GGA-PBE) data for an optimized crystal structure of BeReAu2, as listed in Alexandria.

Cell lengths 4.700, 4.700, 4.700 Å; angles 128.53, 128.53, 75.78 degrees
Site moments in Bohr magnetons follow the coordinates.
Element x y z (fractional)
1 Be 0.500 0.500 0.000  0.01
2 Au 0.000 0.000 0.000  0.18
3 Au 0.250 0.750 0.500  0.07
4 Re 0.750 0.250 0.500  1.61

Results
Final energy: -5.051 eV/atom
Formation energy: 14.56 kcal/mol of atoms



First-principles (GGA-PBE) data for an optimized crystal structure of Pm2MnGa3Rh4, as listed in Alexandria.

Cell lengths 4.204, 4.204, 10.485 Å; angles 90.00, 90.00, 90.00 degrees
Site moments in Bohr magnetons follow the coordinates.
Element x y z (fractional)
1 Ga 0.500 0.000 0.875  0.00
2 Ga 0.000 0.000 0.500  -0.05
3 Ga 0.000 0.500 0.125  0.00
4 Rh 0.500 0.500 0.000  0.04
5 Rh 0.000 0.000 0.000  -0.01
6 Rh 0.000 0.500 0.362  0.13
7 Rh 0.500 0.000 0.638  0.13
8 Mn 0.500 0.500 0.500  3.62
9 Pm 0.500 0.000 0.241  0.01
10 Pm 0.000 0.500 0.759  0.01

Results
Final energy: -6.404 eV/atom
Formation energy: -15.87 kcal/mol of atoms



First-principles (GGA-PBE) data for an optimized crystal structure of BePt2W, as listed in Alexandria.

Cell lengths 2.796, 2.796, 7.054 Å; angles 90.00, 90.00, 90.00 degrees
Element x y z (fractional)
1 Pt 0.500 0.500 0.258
2 Pt 0.000 0.000 0.947
3 Be 0.500 0.500 0.766
4 W 0.000 0.000 0.530

Results
Final energy: -7.500 eV/atom
Formation energy: -7.15 kcal/mol of atoms



First-principles (GGA-PBE) data for an optimized crystal structure of PmPrErSc, as listed in Alexandria.

Cell lengths 5.620, 5.620, 5.620 Å; angles 60.00, 60.00, 60.00 degrees
Element x y z (fractional)
1 Pm 0.250 0.250 0.250
2 Pr 0.750 0.750 0.750
3 Er 0.500 0.500 0.500
4 Sc 0.000 0.000 0.000

Results
Final energy: -5.012 eV/atom
E above lowest polymorph: 0.000 eV/atom
Formation energy: 2.18 kcal/mol of atoms



First-principles (GGA-PBE) data for an optimized crystal structure of Ho12Al3C5, as listed in Alexandria.

Cell lengths 13.565, 13.565, 13.565 Å; angles 109.47, 109.47, 109.47 degrees
Element x y z (fractional)
1 C 0.750 0.625 0.375
2 C 0.625 0.750 0.875
3 C 0.500 0.500 0.000
4 C 0.125 0.750 0.375
5 C 0.000 0.000 0.500
6 C 0.375 0.125 0.750
7 C 0.500 0.000 0.500
8 C 0.750 0.125 0.875
9 C 0.000 0.500 0.000
10 C 0.250 0.375 0.625
11 C 0.625 0.875 0.250
12 C 0.000 0.000 0.000
13 C 0.875 0.250 0.625
14 C 0.500 0.500 0.500
15 C 0.875 0.625 0.750
16 C 0.125 0.375 0.250
17 C 0.500 0.000 0.000
18 C 0.000 0.500 0.500
19 C 0.250 0.875 0.125
20 C 0.375 0.250 0.125
21 Ho 0.595 0.979 0.682
22 Ho 0.116 0.414 0.095
23 Ho 0.384 0.405 0.086
24 Ho 0.905 0.086 0.884
25 Ho 0.797 0.318 0.914
26 Ho 0.414 0.116 0.595
27 Ho 0.405 0.021 0.318
28 Ho 0.586 0.703 0.682
29 Ho 0.095 0.914 0.116
30 Ho 0.086 0.182 0.203
31 Ho 0.586 0.884 0.405
32 Ho 0.818 0.914 0.297
33 Ho 0.521 0.203 0.116
34 Ho 0.086 0.905 0.384
35 Ho 0.116 0.703 0.521
36 Ho 0.682 0.479 0.595
37 Ho 0.297 0.414 0.818
38 Ho 0.616 0.595 0.914
39 Ho 0.979 0.595 0.182
40 Ho 0.021 0.405 0.818
41 Ho 0.182 0.095 0.979
42 Ho 0.914 0.818 0.797
43 Ho 0.405 0.384 0.586
44 Ho 0.905 0.818 0.521
45 Ho 0.203 0.521 0.616
46 Ho 0.297 0.884 0.979
47 Ho 0.479 0.682 0.095
48 Ho 0.318 0.521 0.405
49 Ho 0.095 0.182 0.479
50 Ho 0.884 0.586 0.905
51 Ho 0.203 0.682 0.086
52 Ho 0.414 0.297 0.318
53 Ho 0.703 0.116 0.021
54 Ho 0.884 0.297 0.479
55 Ho 0.616 0.021 0.203
56 Ho 0.797 0.479 0.384
57 Ho 0.182 0.086 0.703
58 Ho 0.521 0.318 0.905
59 Ho 0.682 0.203 0.586
60 Ho 0.384 0.979 0.797
61 Ho 0.595 0.616 0.414
62 Ho 0.703 0.586 0.182
63 Ho 0.818 0.905 0.021
64 Ho 0.479 0.797 0.884
65 Ho 0.021 0.616 0.703
66 Ho 0.914 0.095 0.616
67 Ho 0.318 0.797 0.414
68 Ho 0.979 0.384 0.297
69 Al 0.875 0.125 0.250
70 Al 0.125 0.250 0.875
71 Al 0.750 0.375 0.125
72 Al 0.375 0.750 0.625
73 Al 0.875 0.750 0.125
74 Al 0.375 0.625 0.250
75 Al 0.750 0.875 0.625
76 Al 0.625 0.250 0.375
77 Al 0.250 0.625 0.875
78 Al 0.625 0.375 0.750
79 Al 0.125 0.875 0.750
80 Al 0.250 0.125 0.375

Results
Final energy: -5.737 eV/atom
Formation energy: -2.84 kcal/mol of atoms



First-principles (GGA-PBE) data for an optimized crystal structure of MgScV2Cr, as listed in Alexandria.

Cell lengths 4.402, 4.938, 4.402 Å; angles 90.00, 90.00, 90.00 degrees
Site moments in Bohr magnetons follow the coordinates.
Element x y z (fractional)
1 Mg 0.500 0.500 0.500  -0.01
2 V 0.500 0.000 0.000  1.08
3 V 0.000 0.000 0.500  0.69
4 Sc 0.000 0.500 0.000  0.05
5 Cr 0.000 0.000 0.000  -0.57

Results
Final energy: -6.473 eV/atom
Formation energy: 15.78 kcal/mol of atoms



First-principles (GGA-PBE) data for an optimized crystal structure of Pm2In2Pd3, as listed in Alexandria.

Cell lengths 7.558, 7.558, 7.558 Å; angles 109.47, 109.47, 109.47 degrees
Element x y z (fractional)
1 Pd 0.987 0.237 0.250
2 Pd 0.763 0.750 0.013
3 Pd 0.750 0.487 0.237
4 Pd 0.250 0.013 0.263
5 Pd 0.513 0.263 0.750
6 Pd 0.737 0.250 0.487
7 Pm 0.500 0.486 0.500
8 Pm 0.000 0.000 0.486
9 Pm 0.514 0.014 0.014
10 Pm 0.986 0.500 0.000
11 In 0.500 0.895 0.500
12 In 0.395 0.500 0.000
13 In 0.105 0.605 0.605
14 In 0.000 0.000 0.895

Results
Final energy: -4.961 eV/atom
Formation energy: -13.74 kcal/mol of atoms



First-principles (GGA-PBE) data for an optimized crystal structure of NaSiPt2Pb, as listed in Alexandria.

Cell lengths 4.615, 5.130, 4.615 Å; angles 90.00, 90.00, 90.00 degrees
Element x y z (fractional)
1 Na 0.000 0.500 0.000
2 Si 0.000 0.000 0.000
3 Pb 0.500 0.500 0.500
4 Pt 0.000 0.000 0.500
5 Pt 0.500 0.000 0.000

Results
Final energy: -4.562 eV/atom
Formation energy from raw total energies: -55.7 meV/atom



First-principles (GGA-PBE) data for an optimized crystal structure of MgIrSe2Cl, as listed in Alexandria.

Cell lengths 4.975, 4.758, 4.975 Å; angles 90.00, 90.00, 90.00 degrees
Element x y z (fractional)
1 Se 0.500 0.000 0.000
2 Se 0.000 0.000 0.500
3 Ir 0.000 0.000 0.000
4 Cl 0.000 0.500 0.000
5 Mg 0.500 0.500 0.500

Results
Final energy: -3.808 eV/atom
Formation energy from raw total energies: 46.2 meV/atom



First-principles (GGA-PBE) data for an optimized crystal structure of LiInAg2F, as listed in Alexandria.

Cell lengths 5.379, 3.221, 5.379 Å; angles 90.00, 90.00, 90.00 degrees
Element x y z (fractional)
1 In 0.500 0.500 0.500
2 Ag 0.000 0.000 0.500
3 Ag 0.500 0.000 0.000
4 Li 0.000 0.000 0.000
5 F 0.000 0.500 0.000

Results
Final energy: -3.111 eV/atom
Formation energy from raw total energies: -665.5 meV/atom



First-principles (GGA-PBE) data for an optimized crystal structure of La6TbHo5, as listed in Alexandria.

Cell lengths 5.932, 9.802, 10.162 Å; angles 61.16, 73.03, 52.76 degrees
Element x y z (fractional)
1 La 0.749 0.084 0.335
2 La 0.248 0.252 0.000
3 La 0.752 0.748 0.000
4 La 0.749 0.418 0.665
5 La 0.251 0.916 0.665
6 La 0.251 0.582 0.335
7 Ho 0.000 0.667 0.666
8 Ho 0.500 0.500 0.000
9 Ho 0.000 0.333 0.334
10 Ho 0.500 0.834 0.333
11 Ho 0.500 0.166 0.667
12 Tb 0.000 0.000 0.000

Results
Final energy: -4.681 eV/atom
Formation energy: 1.76 kcal/mol of atoms



First-principles (GGA-PBE) data for an optimized crystal structure of PtO3F6, as listed in Alexandria.

Cell lengths 6.228, 5.524, 5.180 Å; angles 87.36, 90.00, 124.32 degrees
Site moments in Bohr magnetons follow the coordinates.
Element x y z (fractional)
1 F 0.159 0.755 0.662  0.10
2 F 0.382 0.764 0.207  0.13
3 F 0.841 0.245 0.338  0.10
4 F 0.405 0.245 0.338  0.10
5 F 0.618 0.236 0.793  0.13
6 F 0.595 0.755 0.662  0.10
7 O 0.880 0.759 0.130  0.34
8 O 0.000 0.000 0.000  0.45
9 O 0.120 0.241 0.870  0.34
10 Pt 0.500 0.000 0.500  0.61

Results
Final energy: -3.672 eV/atom
Formation energy from raw total energies: -458.1 meV/atom